Cs2I2Br | PBE-GGA | relaxed

Unit cell a=10.5585 b=10.5585 c=10.5585 alpha=152.26 beta=152.26 gamma=39.63
Atoms (fractional coordinates):
Cs (0.1025, 0.1025, 0.0000)
Cs (0.8975, 0.8975, 0.0000)
I (0.2500, 0.7500, 0.5000)
I (0.7500, 0.2500, 0.5000)
Br (0.5000, 0.5000, 0.0000)

- Fermi-level density of states: 2.68 states/eV per cell
- Space group: I4/mmm
- Energy above the lowest structure with this stoichiometry: 0.0391 eV/atom
- Formation energy from raw total energies: -1.1637 eV/atom
- Total moment: 0.000 Bohr magnetons per cell
- Calculated total energy: -2.460 eV per atom

=====

Cs5IBr6 | PBE-GGA | relaxed

Unit cell a=8.9362 b=8.9362 c=8.9361 alpha=96.14 beta=96.14 gamma=117.88
Atoms (fractional coordinates):
Cs (0.0000, 0.0000, 0.0000)
Cs (0.2114, 0.7886, 0.5000)
Cs (0.3425, 0.6575, 0.0000)
Cs (0.6575, 0.3425, 0.0000)
Cs (0.7886, 0.2114, 0.5000)
I (0.5000, 0.5000, 0.5000)
Br (0.0348, 0.3873, 0.2159)
Br (0.2916, 0.2916, 0.6810)
Br (0.3873, 0.0348, 0.2159)
Br (0.6127, 0.9652, 0.7841)
Br (0.7084, 0.7084, 0.3190)
Br (0.9652, 0.6127, 0.7841)

- Fermi-level density of states: 0.00 states/eV per cell
- Space group: C2/m
- Formation energy from raw total energies: -1.4611 eV/atom
- Total moment: 0.000 Bohr magnetons per cell
- Calculated total energy: -2.782 eV per atom

=====

CsI2Br8 | PBE-GGA | relaxed

Unit cell a=8.1198 b=8.1198 c=9.8050 alpha=114.74 beta=114.74 gamma=57.67
Atoms (fractional coordinates):
Cs (0.0000, 0.0000, 0.0000)
I (0.1667, 0.1667, 0.6214)
I (0.8333, 0.8333, 0.3786)
Br (0.1375, 0.6442, 0.2353)
Br (0.2412, 0.2412, 0.4176)
Br (0.3558, 0.8625, 0.7647)
Br (0.4082, 0.4082, 0.8959)
Br (0.5918, 0.5918, 0.1041)
Br (0.6442, 0.1375, 0.2353)
Br (0.7588, 0.7588, 0.5824)
Br (0.8625, 0.3558, 0.7647)

- Fermi-level density of states: 5.27 states/eV per cell
- Space group: C2/m
- Formation energy from raw total energies: -0.2308 eV/atom
- Total moment: 1.085 Bohr magnetons per cell
- Calculated total energy: -1.807 eV per atom

=====

Q: Which formula does entry 3 have?
A: CsI2Br8

=====

Q: Which formula does entry 2 have?
A: Cs5IBr6

=====

Q: Among the records above, which one has the highest formation energy from raw total energies?
A: CsI2Br8